Computed, not measured: ScTa2AlH after structural relaxation at the GGA-PBE level of DFT.

Cell: 4.0774 4.0774 4.5554 Å, 90.00 90.00 90.00°
Space group P4/mmm (No. 123)
Symmetry-distinct sites (fractional):
Sc (0.0000, 0.0000, 0.0000)
Ta (0.0000, 0.5000, 0.5000)
Al (0.5000, 0.5000, 0.0000)
H (0.0000, 0.0000, 0.5000)

**Crystal system**: tetragonal
**DOS at the Fermi energy**: 3.62 states/eV per cell
**Total DFT energy (no corrections)**: -7.597 eV per atom